# BiS5 (PBE-GGA, relaxed)
# Energy relative to the elements, uncorrected, kcal/mol of atoms: 1.6
# Total DFT energy (no corrections), eV per cell: -48.20
# Total magnetic moment, μB/atom: 0.0000
# Crystal system: triclinic
data_BiS5
_chemical_formula_sum 'Bi2 S10'
_symmetry_space_group_name_H-M 'P -1'
_symmetry_Int_Tables_number 2
_cell_length_a 4.1240
_cell_length_b 7.1774
_cell_length_c 11.9259
_cell_angle_alpha 77.23
_cell_angle_beta 86.83
_cell_angle_gamma 75.47
loop_
_symmetry_equiv_pos_as_xyz
'x,y,z'
'-x,-y,-z'
loop_
_atom_site_label
_atom_site_type_symbol
_atom_site_fract_x
_atom_site_fract_y
_atom_site_fract_z
Bi1 Bi 0.0652 0.2999 0.2614
S1 S 0.0482 0.4138 0.9426
S2 S 0.3160 0.9870 0.6238
S3 S 0.3450 0.6291 0.4513
S4 S 0.3532 0.9208 0.8033
S5 S 0.4035 0.5923 0.2867